Here is TaTl2Cr after structural relaxation from Alexandria via LeMat-Bulk. Energies are from PBE-GGA.

Unit cell a=3.215 b=3.212 c=8.428 alpha=78.96 beta=90.00 gamma=90.00
Each line ends with the local moment (μB).
Sites, in units of the cell vectors:
1 Tl 0.500 0.037 0.305  -0.02
2 Tl 0.000 0.203 0.962  0.00
3 Ta 0.500 0.844 0.688  -0.27
4 Cr 0.000 0.416 0.545  1.01

Output
ΔE_f: 47.40 kJ/mol of atoms
excess energy over the best structure of this formula in the dataset: 0 meV/atom

=====

Here is CdCoTe2 after structural relaxation from Alexandria via LeMat-Bulk. Energies are from PBE-GGA.

Unit cell a=5.113 b=5.113 c=4.476 alpha=73.27 beta=73.27 gamma=104.91
Each line ends with the local moment (μB).
Sites, in units of the cell vectors:
1 Cd 0.500 0.000 0.500  -0.01
2 Te 0.000 0.000 0.000  0.01
3 Te 0.500 0.500 0.000  0.01
4 Co 0.000 0.500 0.500  1.74

Output
ΔE_f (raw): 8.3 kcal/mol of atoms

=====

Here is ZrTl2Fe after structural relaxation from Alexandria via LeMat-Bulk. Energies are from PBE-GGA.

Unit cell a=3.289 b=3.287 c=8.400 alpha=78.96 beta=90.00 gamma=90.00
Each line ends with the local moment (μB).
Sites, in units of the cell vectors:
1 Zr 0.000 0.407 0.562  -0.34
2 Tl 0.000 0.219 0.941  -0.02
3 Tl 0.500 0.045 0.278  0.00
4 Fe 0.500 0.829 0.719  1.64

Output
ΔE_f: 18.70 kJ/mol of atoms
excess energy over the best structure of this formula in the dataset: 0 meV/atom

=====

Here is TcIr2Au after structural relaxation from Alexandria via LeMat-Bulk. Energies are from PBE-GGA.

Unit cell a=2.774 b=3.936 c=5.607 alpha=90.00 beta=90.00 gamma=90.00
Sites, in units of the cell vectors:
1 Au 0.500 0.500 0.750
2 Tc 0.000 0.000 0.478
3 Ir 0.500 0.500 0.262
4 Ir 0.000 0.000 0.011

Output
ΔE_f: 18.56 kJ/mol of atoms
excess energy over the best structure of this formula in the dataset: 170 meV/atom

=====

Here is LiTiSeI2 after structural relaxation from Alexandria via LeMat-Bulk. Energies are from PBE-GGA.

Unit cell a=5.294 b=6.876 c=5.294 alpha=90.00 beta=90.00 gamma=90.00
Each line ends with the local moment (μB).
Sites, in units of the cell vectors:
1 Ti 0.000 0.000 0.000  1.45
2 I 0.000 0.000 0.500  -0.04
3 I 0.500 0.000 0.000  -0.08
4 Li 0.000 0.500 0.000  0.02
5 Se 0.500 0.500 0.500  -0.14

Output
ΔE_f (raw): 4.0 kcal/mol of atoms

=====

Here is LiNiSb2 after structural relaxation from Alexandria via LeMat-Bulk. Energies are from PBE-GGA.

Unit cell a=4.879 b=4.879 c=4.879 alpha=60.00 beta=60.00 gamma=60.00
Sites, in units of the cell vectors:
1 Ni 0.750 0.750 0.750
2 Sb 0.000 0.000 0.000
3 Sb 0.250 0.250 0.250
4 Li 0.500 0.500 0.500

Output
ΔE_f (raw): 4.6 kcal/mol of atoms
excess energy over the best structure of this formula in the dataset: 474 meV/atom

=====

no.,calculated total energy (Ry/atom)
1,-0.445
2,-0.236
3,-0.385
4,-0.562
5,-0.228
6,-0.278